Version w
Ba2GaO | PBE | optimized geometry

## Properties
- space group = No. 225

a = 5.4732 Å, b = 5.4732 Å, c = 5.4732 Å
α = 60.00°, β = 60.00°, γ = 60.00°
Last column: nearest neighbours and their distance in Å.
Fractional coordinates of all 4 atoms:
1 Ba 0.2500 0.2500 0.2500  4 O 3.35, 4 Ga 3.35
2 Ba 0.7500 0.7500 0.7500  4 O 3.35, 4 Ga 3.35
3 Ga 0.0000 0.0000 0.0000  8 Ba 3.35
4 O 0.5000 0.5000 0.5000  8 Ba 3.35

=====

Version x
Ba2GaO | PBE | optimized geometry

## Properties
- space group = No. 122

a = 7.2180 Å, b = 7.2180 Å, c = 7.2180 Å
α = 115.77°, β = 115.77°, γ = 97.50°
Last column: nearest neighbours and their distance in Å.
Fractional coordinates of all 8 atoms:
1 Ba 0.0295 0.6250 0.9045  2 O 2.55
2 Ba 0.3750 0.2795 0.4045  2 O 2.55
3 Ba 0.7205 0.1250 0.0955  2 O 2.55
4 Ba 0.8750 0.9705 0.5955  2 O 2.55
5 Ga 0.2500 0.7500 0.5000  4 Ba 3.48
6 Ga 0.5000 0.5000 0.0000  4 Ba 3.48
7 O 0.0000 0.0000 0.0000  4 Ba 2.55
8 O 0.7500 0.2500 0.5000  4 Ba 2.55

=====

Which structure loses on stability? version w does.

=====

Version w
BaGa4O7 | PBE | optimized geometry

## Properties
- space group = No. 31

a = 13.3296 Å, b = 5.3464 Å, c = 5.0897 Å
α = 90.00°, β = 90.00°, γ = 90.00°
Last column: nearest neighbours and their distance in Å.
Fractional coordinates of all 24 atoms:
1 Ba 0.0000 0.1621 0.0000  5 O 2.64-2.95
2 Ba 0.5000 0.8379 0.5000  5 O 2.64-2.95
3 Ga 0.1182 0.6739 0.4824  4 O 1.84-1.91
4 Ga 0.2491 0.1834 0.4674  4 O 1.83-1.92
5 Ga 0.2509 0.8166 0.9674  4 O 1.83-1.92
6 Ga 0.3818 0.3261 0.9824  4 O 1.84-1.91
7 Ga 0.6182 0.3261 0.9824  4 O 1.84-1.91
8 Ga 0.7491 0.8166 0.9674  4 O 1.83-1.92
9 Ga 0.7509 0.1834 0.4674  4 O 1.83-1.92
10 Ga 0.8818 0.6739 0.4824  4 O 1.84-1.91
11 O 0.0000 0.8092 0.3630  2 Ga 1.84
12 O 0.1267 0.7352 0.8400  2 Ga 1.83-1.85
13 O 0.1296 0.3391 0.3983  2 Ga 1.83-1.85
14 O 0.2291 0.8517 0.3347  3 Ga 1.90-1.92
15 O 0.2709 0.1483 0.8347  3 Ga 1.90-1.92
16 O 0.3704 0.6609 0.8983  2 Ga 1.83-1.85
17 O 0.3733 0.2648 0.3400  2 Ga 1.83-1.85
18 O 0.5000 0.1908 0.8630  2 Ga 1.84
19 O 0.6267 0.2648 0.3400  2 Ga 1.83-1.85
20 O 0.6296 0.6609 0.8983  2 Ga 1.83-1.85
21 O 0.7291 0.1483 0.8347  3 Ga 1.90-1.92
22 O 0.7709 0.8517 0.3347  3 Ga 1.90-1.92
23 O 0.8704 0.3391 0.3983  2 Ga 1.83-1.85
24 O 0.8733 0.7352 0.8400  2 Ga 1.83-1.85

=====

Version x
BaGa4O7 | PBE | optimized geometry

## Properties
- space group = No. 15

a = 8.4019 Å, b = 8.4019 Å, c = 5.8585 Å
α = 101.89°, β = 101.89°, γ = 68.91°
Last column: nearest neighbours and their distance in Å.
Fractional coordinates of all 24 atoms:
1 Ba 0.1908 0.8092 0.7500  7 O 2.71-3.02
2 Ba 0.8092 0.1908 0.2500  7 O 2.71-3.02
3 Ga 0.0875 0.2609 0.7957  4 O 1.84-1.90
4 Ga 0.2609 0.0875 0.2957  4 O 1.84-1.90
5 Ga 0.3145 0.4442 0.2216  4 O 1.82-1.92
6 Ga 0.4442 0.3145 0.7216  4 O 1.82-1.92
7 Ga 0.5558 0.6855 0.2784  4 O 1.82-1.92
8 Ga 0.6855 0.5558 0.7784  4 O 1.82-1.92
9 Ga 0.7391 0.9125 0.7043  4 O 1.84-1.90
10 Ga 0.9125 0.7391 0.2043  4 O 1.84-1.90
11 O 0.0854 0.1590 0.0468  2 Ga 1.85-1.87
12 O 0.1307 0.6159 0.3312  2 Ga 1.82-1.84
13 O 0.1590 0.0854 0.5468  2 Ga 1.85-1.87
14 O 0.2547 0.3740 0.8927  3 Ga 1.90-1.92
15 O 0.3740 0.2547 0.3927  3 Ga 1.90-1.92
16 O 0.3841 0.8693 0.1688  2 Ga 1.82-1.84
17 O 0.4776 0.5224 0.7500  2 Ga 1.84
18 O 0.5224 0.4776 0.2500  2 Ga 1.84
19 O 0.6159 0.1307 0.8312  2 Ga 1.82-1.84
20 O 0.6260 0.7453 0.6073  3 Ga 1.90-1.92
21 O 0.7453 0.6260 0.1073  3 Ga 1.90-1.92
22 O 0.8410 0.9146 0.4532  2 Ga 1.85-1.87
23 O 0.8693 0.3841 0.6688  2 Ga 1.82-1.84
24 O 0.9146 0.8410 0.9532  2 Ga 1.85-1.87

=====

Which structure loses on stability? version w does.

=====

Version w
Ba2GaSbO | PBE | optimized geometry

## Properties
- space group = No. 123

a = 6.6728 Å, b = 6.6728 Å, c = 4.2916 Å
α = 90.00°, β = 90.00°, γ = 90.00°
Last column: nearest neighbours and their distance in Å.
Fractional coordinates of all 5 atoms:
1 Ba 0.0000 0.5000 0.0000  2 Sb 3.34
2 Ba 0.5000 0.0000 0.0000  2 Sb 3.34
3 Ga 0.0000 0.0000 0.5000  8 Ba 3.97, 2 Ga 4.29
4 Sb 0.5000 0.5000 0.0000  2 O 2.15
5 O 0.5000 0.5000 0.5000  2 Sb 2.15

=====

Version x
Ba2GaSbO | PBE | optimized geometry

## Properties
- space group = No. 11

a = 6.9605 Å, b = 4.6121 Å, c = 10.1498 Å
α = 90.00°, β = 105.64°, γ = 90.00°
Last column: nearest neighbours and their distance in Å.
Fractional coordinates of all 10 atoms:
1 Ba 0.1810 0.2500 0.4072  1 O 2.56
2 Ba 0.2965 0.7500 0.0883  2 O 2.67
3 Ba 0.7035 0.2500 0.9117  2 O 2.67
4 Ba 0.8190 0.7500 0.5928  1 O 2.56
5 Ga 0.3503 0.7500 0.6741  1 O 1.93
6 Ga 0.6497 0.2500 0.3259  1 O 1.93
7 Sb 0.1752 0.2500 0.7887  2 Ga 2.99
8 Sb 0.8248 0.7500 0.2113  2 Ga 2.99
9 O 0.3720 0.2500 0.2245  1 Ga 1.93
10 O 0.6280 0.7500 0.7755  1 Ga 1.93

=====

Which structure loses on stability? version w does.

=====

Version w
BaGaP3 | PBE | optimized geometry

## Properties
- space group = No. 221

a = 5.7353 Å, b = 5.7353 Å, c = 5.7353 Å
α = 90.00°, β = 90.00°, γ = 90.00°
Last column: nearest neighbours and their distance in Å.
Fractional coordinates of all 5 atoms:
1 Ba 0.0000 0.0000 0.0000  6 P 2.87
2 Ga 0.5000 0.5000 0.5000  12 P 4.06
3 P 0.0000 0.0000 0.5000  2 Ba 2.87
4 P 0.0000 0.5000 0.0000  2 Ba 2.87
5 P 0.5000 0.0000 0.0000  2 Ba 2.87

=====

Version x
BaGaP3 | PBE | optimized geometry

## Properties
- space group = No. 221

a = 4.9015 Å, b = 4.9015 Å, c = 4.9015 Å
α = 90.00°, β = 90.00°, γ = 90.00°
Last column: nearest neighbours and their distance in Å.
Fractional coordinates of all 5 atoms:
1 Ba 0.0000 0.0000 0.0000  12 P 3.47
2 Ga 0.5000 0.5000 0.5000  6 P 2.45
3 P 0.0000 0.5000 0.5000  2 Ga 2.45
4 P 0.5000 0.0000 0.5000  2 Ga 2.45
5 P 0.5000 0.5000 0.0000  2 Ga 2.45

=====

Which structure loses on stability? version w does.

=====

Version w
BaGa3P | PBE | optimized geometry

## Properties
- space group = No. 221

a = 5.0208 Å, b = 5.0208 Å, c = 5.0208 Å
α = 90.00°, β = 90.00°, γ = 90.00°
Last column: nearest neighbours and their distance in Å.
Fractional coordinates of all 5 atoms:
1 Ba 0.0000 0.0000 0.0000  12 Ga 3.55
2 Ga 0.0000 0.5000 0.5000  2 P 2.51
3 Ga 0.5000 0.0000 0.5000  2 P 2.51
4 Ga 0.5000 0.5000 0.0000  2 P 2.51
5 P 0.5000 0.5000 0.5000  6 Ga 2.51

=====

Version x
BaGa3P | PBE | optimized geometry

## Properties
- space group = No. 221

a = 5.9207 Å, b = 5.9207 Å, c = 5.9207 Å
α = 90.00°, β = 90.00°, γ = 90.00°
Last column: nearest neighbours and their distance in Å.
Fractional coordinates of all 5 atoms:
1 Ba 0.0000 0.0000 0.0000  6 Ga 2.96
2 Ga 0.0000 0.0000 0.5000  2 Ba 2.96
3 Ga 0.0000 0.5000 0.0000  2 Ba 2.96
4 Ga 0.5000 0.0000 0.0000  2 Ba 2.96
5 P 0.5000 0.5000 0.5000  12 Ga 4.19

=====

Which structure loses on stability? version x does.

=====

Version w
Ba3Ga2P4 | PBE | optimized geometry

## Properties
- space group = No. 12

a = 7.7544 Å, b = 7.7544 Å, c = 9.5530 Å
α = 121.41°, β = 121.41°, γ = 31.96°
Last column: nearest neighbours and their distance in Å.
Fractional coordinates of all 9 atoms:
1 Ba 0.0000 0.0000 0.0000  6 P 3.16-3.35
2 Ba 0.3629 0.3629 0.2656  3 P 3.13-3.15
3 Ba 0.6371 0.6371 0.7344  3 P 3.13-3.15
4 Ga 0.3108 0.3108 0.6522  4 P 2.34-2.59
5 Ga 0.6892 0.6892 0.3478  4 P 2.34-2.59
6 P 0.1210 0.1210 0.4153  3 Ga 2.49-2.59
7 P 0.3192 0.3192 0.9037  1 Ga 2.34
8 P 0.6808 0.6808 0.0963  1 Ga 2.34
9 P 0.8790 0.8790 0.5847  3 Ga 2.49-2.59

=====

Version x
Ba3Ga2P4 | PBE | optimized geometry

## Properties
- space group = No. 15

a = 9.0676 Å, b = 9.0676 Å, c = 7.8609 Å
α = 90.19°, β = 90.19°, γ = 58.66°
Last column: nearest neighbours and their distance in Å.
Fractional coordinates of all 18 atoms:
1 Ba 0.0295 0.9705 0.7500  4 P 3.17-3.41, 2 Ga 3.49
2 Ba 0.2630 0.4764 0.3910  6 P 3.27-3.34
3 Ba 0.4764 0.2630 0.8910  6 P 3.27-3.34
4 Ba 0.5236 0.7370 0.1090  6 P 3.27-3.34
5 Ba 0.7370 0.5236 0.6090  6 P 3.27-3.34
6 Ba 0.9705 0.0295 0.2500  4 P 3.17-3.41, 2 Ga 3.49
7 Ga 0.0638 0.2836 0.9755  3 P 2.28-2.45
8 Ga 0.2836 0.0638 0.4755  3 P 2.28-2.45
9 Ga 0.7164 0.9362 0.5245  3 P 2.28-2.45
10 Ga 0.9362 0.7164 0.0245  3 P 2.28-2.45
11 P 0.1514 0.2828 0.6805  2 Ga 2.34-2.45
12 P 0.2104 0.6643 0.0152  1 Ga 2.28
13 P 0.2828 0.1514 0.1805  2 Ga 2.34-2.45
14 P 0.3357 0.7896 0.4848  1 Ga 2.28
15 P 0.6643 0.2104 0.5152  1 Ga 2.28
16 P 0.7172 0.8486 0.8195  2 Ga 2.34-2.45
17 P 0.7896 0.3357 0.9848  1 Ga 2.28
18 P 0.8486 0.7172 0.3195  2 Ga 2.34-2.45

=====

Which structure loses on stability? version x does.